(1)
# PBE B2PdRh, optimized geometry
# E_form (eV per atom): 0.268
# DOS(E_F) (states/eV/cell): 6.42
# Distance to the lowest polymorph of the same formula (eV/atom): 0.060
# Calculated density (g/cm³): 8.7
data_B2PdRh
_chemical_formula_sum 'B6 Pd3 Rh3'
_cell_length_a 3.6292
_cell_length_b 3.6292
_cell_length_c 11.6097
_cell_angle_alpha 90.00
_cell_angle_beta 90.00
_cell_angle_gamma 120.00
_space_group_name_H-M_alt 'R -3 m'
_space_group_IT_number 166
_space_group_name_Hall '-R 3 2"'
loop_
_atom_site_label
_atom_site_type_symbol
_atom_site_fract_x
_atom_site_fract_y
_atom_site_fract_z
B1 B 0.0000 0.0000 0.2068
Pd1 Pd 0.0000 0.0000 0.0000
Rh1 Rh 0.0000 0.0000 0.5000

=====

(2)
# PBE CsTlSe2Br, optimized geometry
# DOS(E_F) (states/eV/cell): 6.86
# Distance to the lowest polymorph of the same formula (eV/atom): 0.000
# Calculated density (g/cm³): 5.2
# Formation energy from raw total energies (eV/f.u.): -2.29
data_CsTlSe2Br
_chemical_formula_sum 'Cs1 Tl1 Se2 Br1'
_cell_length_a 5.470
_cell_length_b 5.470
_cell_length_c 6.191
_cell_angle_alpha 90.00
_cell_angle_beta 90.00
_cell_angle_gamma 90.00
_space_group_name_H-M_alt 'P 4/m m m'
_space_group_IT_number 123
_space_group_name_Hall '-P 4 2'
loop_
_atom_site_label
_atom_site_type_symbol
_atom_site_fract_x
_atom_site_fract_y
_atom_site_fract_z
Cs1 Cs 0.000 0.000 0.000
Tl1 Tl 0.500 0.500 0.500
Se1 Se 0.000 0.500 0.500
Br1 Br 0.500 0.500 0.000

=====

(3)
# PBE CoSi3Bi, optimized geometry
# DOS(E_F) (states/eV/cell): 1.53
# Distance to the lowest polymorph of the same formula (eV/atom): 0.000
# Calculated density (g/cm³): 6.4
# Formation energy from raw total energies (eV/f.u.): 1.53
data_CoSi3Bi
_chemical_formula_sum 'Co1 Si3 Bi1'
_cell_length_a 4.515
_cell_length_b 4.515
_cell_length_c 4.515
_cell_angle_alpha 90.00
_cell_angle_beta 90.00
_cell_angle_gamma 90.00
_space_group_name_H-M_alt 'P m -3 m'
_space_group_IT_number 221
_space_group_name_Hall '-P 4 2 3'
loop_
_atom_site_label
_atom_site_type_symbol
_atom_site_fract_x
_atom_site_fract_y
_atom_site_fract_z
Co1 Co 0.000 0.000 0.000
Si1 Si 0.000 0.000 0.500
Bi1 Bi 0.500 0.500 0.500

=====

(4)
# PBE FeCuSe2, optimized geometry
# DOS(E_F) (states/eV/cell): 4.00
# Calculated density (g/cm³): 6.0
# Formation energy from raw total energies (eV/f.u.): 0.01
data_FeCuSe2
_chemical_formula_sum 'Fe2 Cu2 Se4'
_cell_length_a 7.560
_cell_length_b 3.330
_cell_length_c 6.398
_cell_angle_alpha 90.00
_cell_angle_beta 107.13
_cell_angle_gamma 90.00
_space_group_name_H-M_alt 'C 1 m 1'
_space_group_IT_number 8
_space_group_name_Hall 'C -2y'
loop_
_atom_site_label
_atom_site_type_symbol
_atom_site_fract_x
_atom_site_fract_y
_atom_site_fract_z
Fe1 Fe 0.000 0.000 0.000
Cu1 Cu 0.279 0.500 0.207
Se1 Se 0.028 0.500 0.337
Se2 Se 0.259 0.000 0.827

=====

(5)
# PBE Ti2Ni3Pt2, optimized geometry
# E_form (eV per atom): -0.294
# DOS(E_F) (states/eV/cell): 29.55
# Calculated density (g/cm³): 10.7
data_Ti2Ni3Pt2
_chemical_formula_sum 'Ti8 Ni12 Pt8'
_cell_length_a 7.428
_cell_length_b 7.428
_cell_length_c 7.428
_cell_angle_alpha 90.00
_cell_angle_beta 90.00
_cell_angle_gamma 90.00
_space_group_name_H-M_alt 'I 21 3'
_space_group_IT_number 199
_space_group_name_Hall 'I 2b 2c 3'
loop_
_atom_site_label
_atom_site_type_symbol
_atom_site_fract_x
_atom_site_fract_y
_atom_site_fract_z
Ti1 Ti 0.249 0.249 0.249
Ni1 Ni 0.000 0.250 0.024
Pt1 Pt 0.065 0.435 0.565

=====

(6)
# PBE Na4MgNp3Te8, optimized geometry
# DOS(E_F) (states/eV/cell): 82.59
# Calculated density (g/cm³): 6.0
# Formation energy from raw total energies (eV/f.u.): -13.06
data_Na4MgNp3Te8
_chemical_formula_sum 'Na12 Mg3 Np9 Te24'
_cell_length_a 8.9020
_cell_length_b 8.9020
_cell_length_c 22.4483
_cell_angle_alpha 90.00
_cell_angle_beta 90.00
_cell_angle_gamma 120.00
_space_group_name_H-M_alt 'R -3 m'
_space_group_IT_number 166
_space_group_name_Hall '-R 3 2"'
loop_
_atom_site_label
_atom_site_type_symbol
_atom_site_fract_x
_atom_site_fract_y
_atom_site_fract_z
Na1 Na 0.0000 0.0000 0.0000
Na2 Na 0.0000 0.5000 0.0000
Mg1 Mg 0.0000 0.0000 0.5000
Np1 Np 0.0000 0.5000 0.5000
Te1 Te 0.0000 0.0000 0.2446
Te2 Te 0.0061 0.5030 0.2429

=====

(7)
# PBE HfMg2Pd, optimized geometry
# E_form (eV per atom): 0.057
# DOS(E_F) (states/eV/cell): 13.25
# Calculated density (g/cm³): 6.6
data_HfMg2Pd
_chemical_formula_sum 'Hf4 Mg8 Pd4'
_cell_length_a 7.812
_cell_length_b 7.812
_cell_length_c 5.460
_cell_angle_alpha 90.00
_cell_angle_beta 90.00
_cell_angle_gamma 90.00
_space_group_name_H-M_alt 'I -4 2 d'
_space_group_IT_number 122
_space_group_name_Hall 'I -4 2bw'
loop_
_atom_site_label
_atom_site_type_symbol
_atom_site_fract_x
_atom_site_fract_y
_atom_site_fract_z
Hf1 Hf 0.000 0.000 0.000
Mg1 Mg 0.200 0.250 0.625
Pd1 Pd 0.000 0.000 0.500

=====

(8)
# PBE Nd6ErTmSc2, optimized geometry
# E_form (eV per atom): 0.125
# DOS(E_F) (states/eV/cell): 62.57
# Calculated density (g/cm³): 6.6
data_Nd6ErTmSc2
_chemical_formula_sum 'Nd24 Er4 Tm4 Sc8'
_cell_length_a 9.068
_cell_length_b 15.081
_cell_length_c 9.549
_cell_angle_alpha 90.00
_cell_angle_beta 98.56
_cell_angle_gamma 90.00
_space_group_name_H-M_alt 'C 1 2/c 1'
_space_group_IT_number 15
_space_group_name_Hall '-C 2yc'
loop_
_atom_site_label
_atom_site_type_symbol
_atom_site_fract_x
_atom_site_fract_y
_atom_site_fract_z
Nd1 Nd 0.063 0.173 0.448
Nd2 Nd 0.099 0.398 0.618
Nd3 Nd 0.214 0.224 0.815
Er1 Er 0.000 0.409 0.250
Tm1 Tm 0.000 0.028 0.750
Sc1 Sc 0.245 0.048 0.048

=====

(9)
# PBE LaAg2HS, optimized geometry
# Calculated total energy (eV/atom): -4.121
# DOS(E_F) (states/eV/cell): 2.43
# Calculated density (g/cm³): 6.7
data_LaAg2HS
_chemical_formula_sum 'La1 Ag2 H1 S1'
_cell_length_a 4.075
_cell_length_b 4.075
_cell_length_c 5.773
_cell_angle_alpha 90.00
_cell_angle_beta 90.00
_cell_angle_gamma 90.00
_space_group_name_H-M_alt 'P 4/m m m'
_space_group_IT_number 123
_space_group_name_Hall '-P 4 2'
loop_
_atom_site_label
_atom_site_type_symbol
_atom_site_fract_x
_atom_site_fract_y
_atom_site_fract_z
La1 La 0.000 0.000 0.000
Ag1 Ag 0.000 0.500 0.500
H1 H 0.000 0.000 0.500
S1 S 0.500 0.500 0.000

=====

(10)
# PBE LaPaMnC3, optimized geometry
# E_form (eV per atom): -0.112
# DOS(E_F) (states/eV/cell): 6.97
# Calculated density (g/cm³): 7.6
data_LaPaMnC3
_chemical_formula_sum 'La2 Pa2 Mn2 C6'
_cell_length_a 7.489
_cell_length_b 3.569
_cell_length_c 7.654
_cell_angle_alpha 90.00
_cell_angle_beta 98.22
_cell_angle_gamma 90.00
_space_group_name_H-M_alt 'P 1 21/m 1'
_space_group_IT_number 11
_space_group_name_Hall '-P 2yb'
loop_
_atom_site_label
_atom_site_type_symbol
_atom_site_fract_x
_atom_site_fract_y
_atom_site_fract_z
La1 La 0.192 0.250 0.169
Pa1 Pa 0.177 0.250 0.638
Mn1 Mn 0.410 0.750 0.913
C1 C 0.135 0.750 0.423
C2 C 0.165 0.750 0.870
C3 C 0.477 0.250 0.852

=====

(11)
# PBE Tb4Pr8Y, optimized geometry
# E_form (eV per atom): 0.188
# DOS(E_F) (states/eV/cell): 39.28
# Calculated density (g/cm³): 6.7
data_Tb4Pr8Y
_chemical_formula_sum 'Tb12 Pr24 Y3'
_cell_length_a 7.3400
_cell_length_b 7.3400
_cell_length_c 29.3918
_cell_angle_alpha 90.00
_cell_angle_beta 90.00
_cell_angle_gamma 120.00
_space_group_name_H-M_alt 'R -3 m'
_space_group_IT_number 166
_space_group_name_Hall '-R 3 2"'
loop_
_atom_site_label
_atom_site_type_symbol
_atom_site_fract_x
_atom_site_fract_y
_atom_site_fract_z
Tb1 Tb 0.0000 0.0000 0.0000
Tb2 Tb 0.0000 0.5000 0.0000
Pr1 Pr 0.0000 0.0000 0.2115
Pr2 Pr 0.0316 0.5158 0.7634
Y1 Y 0.0000 0.0000 0.5000

=====

(12)
# PBE CaScTa2, optimized geometry
# E_form (eV per atom): 0.417
# DOS(E_F) (states/eV/cell): 4.01
# Distance to the lowest polymorph of the same formula (eV/atom): 0.154
# Calculated density (g/cm³): 8.0
data_CaScTa2
_chemical_formula_sum 'Ca1 Sc1 Ta2'
_cell_length_a 3.015
_cell_length_b 4.775
_cell_length_c 6.493
_cell_angle_alpha 90.00
_cell_angle_beta 97.75
_cell_angle_gamma 90.00
_space_group_name_H-M_alt 'P 1 m 1'
_space_group_IT_number 6
_space_group_name_Hall 'P -2y'
loop_
_atom_site_label
_atom_site_type_symbol
_atom_site_fract_x
_atom_site_fract_y
_atom_site_fract_z
Ca1 Ca 0.000 0.000 0.000
Sc1 Sc 0.675 0.500 0.310
Ta1 Ta 0.206 0.500 0.702
Ta2 Ta 0.449 0.000 0.541